Below is crystalline ScAlIr2 at its relaxed geometry, with properties calculated at the PBE level.

Output
total magnetic moment	0.00	μB/f.u.
calculated total energy	-7.717	eV per atom
crystal system	monoclinic

Cell lengths 5.038, 5.038, 4.498 Å; angles 105.60, 105.60, 34.84 degrees
Atoms (fractional coordinates):
Sc 0.000 0.000 0.000
Al 0.770 0.770 0.376
Ir 0.254 0.254 0.871
Ir 0.502 0.502 0.489


Below is crystalline Sc3AlIr at its relaxed geometry, with properties calculated at the PBE level.

Output
total magnetic moment	0.00	μB/f.u.
calculated total energy	-6.500	eV per atom
crystal system	cubic

Cell lengths 5.003, 5.003, 5.003 Å; angles 90.00, 90.00, 90.00 degrees
Atoms (fractional coordinates):
Sc 0.000 0.000 0.500
Sc 0.000 0.500 0.000
Sc 0.500 0.000 0.000
Al 0.500 0.500 0.500
Ir 0.000 0.000 0.000


Number 1: DFT formation energy -0.768 eV/atom. Number 2: DFT formation energy -0.181 eV/atom.